Entry 1:
Density functional theory data (GGA-PBE) for crystalline K2Sb2Pt3 at its relaxed geometry.

The calculation puts the distance to the lowest polymorph of the same formula at 0.0 meV per atom.

The structure in CIF format:
```
data_K2Sb2Pt3
_chemical_formula_sum 'K2 Sb2 Pt3'
_space_group_name_H-M_alt 'P 1'
_space_group_IT_number 1
_cell_length_a 6.7588
_cell_length_b 6.7588
_cell_length_c 9.5700
_cell_angle_alpha 128.28
_cell_angle_beta 128.28
_cell_angle_gamma 36.63
loop_
_space_group_symop_operation_xyz
'x,y,z'
loop_
_atom_site_label
_atom_site_type_symbol
_atom_site_fract_x
_atom_site_fract_y
_atom_site_fract_z
Pt1 Pt 0.5000 0.5000 0.0000
Pt2 Pt 0.3176 0.3176 0.6186
Pt3 Pt 0.6824 0.6824 0.3814
K1 K 0.0810 0.0810 0.7590
K2 K 0.9190 0.9190 0.2410
Sb1 Sb 0.1838 0.1838 0.2251
Sb2 Sb 0.8162 0.8162 0.7749
```

Entry 2:
Density functional theory data (GGA-PBE) for crystalline K2Sb2Pt3 at its relaxed geometry.

The calculation puts the distance to the lowest polymorph of the same formula at 99.1 meV per atom.

The structure in CIF format:
```
data_K2Sb2Pt3
_chemical_formula_sum 'K2 Sb2 Pt3'
_space_group_name_H-M_alt 'P 1'
_space_group_IT_number 1
_cell_length_a 12.0115
_cell_length_b 12.0115
_cell_length_c 12.0115
_cell_angle_alpha 21.84
_cell_angle_beta 21.84
_cell_angle_gamma 21.84
loop_
_space_group_symop_operation_xyz
'x,y,z'
loop_
_atom_site_label
_atom_site_type_symbol
_atom_site_fract_x
_atom_site_fract_y
_atom_site_fract_z
K1 K 0.2515 0.2515 0.2515
K2 K 0.7548 0.7548 0.7548
Pt1 Pt 0.3507 0.3507 0.3507
Pt2 Pt 0.8475 0.8475 0.8475
Pt3 Pt 0.6581 0.6581 0.6581
Sb1 Sb 0.5091 0.5091 0.5091
Sb2 Sb 0.0033 0.0033 0.0033
```

Entry 3:
Density functional theory data (GGA-PBE) for crystalline KSbPt at its relaxed geometry.

The calculation puts the distance to the lowest polymorph of the same formula at 0.0 meV per atom.

The structure in CIF format:
```
data_KSbPt
_chemical_formula_sum 'K2 Sb2 Pt2'
_space_group_name_H-M_alt 'P 1'
_space_group_IT_number 1
_cell_length_a 4.5997
_cell_length_b 6.5008
_cell_length_c 6.9937
_cell_angle_alpha 112.19
_cell_angle_beta 109.05
_cell_angle_gamma 90.25
loop_
_space_group_symop_operation_xyz
'x,y,z'
loop_
_atom_site_label
_atom_site_type_symbol
_atom_site_fract_x
_atom_site_fract_y
_atom_site_fract_z
Pt1 Pt 0.2977 0.1332 0.0949
Pt2 Pt 0.7023 0.8668 0.9051
Sb1 Sb 0.1030 0.7628 0.7063
Sb2 Sb 0.8970 0.2372 0.2937
K1 K 0.3800 0.7068 0.2571
K2 K 0.6200 0.2932 0.7429
```

Number 1: ρ 7.62 g/cm³. Number 2: ρ 7.16 g/cm³. Number 3: ρ 6.53 g/cm³.